No. 1
Material: LaTc2W2
Method: DFT, GGA-PBE
State: relaxed

Lattice parameters (Å, degrees): 4.349 4.349 10.845 90.00 90.00 90.00
Space group I4/mmm (No. 139)
Unique sites:
La 0.000 0.000 0.000 (multiplicity 2)
Tc 0.000 0.000 0.375 (multiplicity 4)
W 0.000 0.500 0.250 (multiplicity 4)

Energy of formation ... 64 kJ/mol of formula units
ΔE to the lowest computed polymorph ... 0 meV/atom
VASP energy ... -10.18 eV/atom
N(E_F) ... 8.881 states/eV per cell
Magnetic moment ... 0.00 Bohr magnetons per cell

***

No. 2
Material: TbNi8Ge2
Method: DFT, GGA-PBE
State: relaxed

Lattice parameters (Å, degrees): 5.767 5.767 4.909 90.00 90.00 90.00
Space group P4/mmm (No. 123)
Unique sites:
Tb 0.000 0.000 0.000 (multiplicity 1)
Ni 0.295 0.295 0.245 (multiplicity 8)
Ge 0.000 0.500 0.500 (multiplicity 2)

Energy of formation ... 118 kJ/mol of formula units
VASP energy ... -5.35 eV/atom
N(E_F) ... 12.543 states/eV per cell
Magnetic moment ... 0.00 Bohr magnetons per cell